DFT (PBE-GGA) results for a relaxed Pa3Mn4InN12 crystal.

## Properties
DFT total energy = -8.71 eV/atom
spin magnetization = 0.442 μB per atom
energy relative to the elements, uncorrected = -6.339 eV/f.u.

Lattice parameters (Å, degrees): 7.047 7.047 7.047 104.71 104.71 104.71
Positions (direct):
Mn 0.953 0.047 0.500
N 0.973 0.202 0.350
N 0.344 0.656 0.500
Pa 0.547 0.453 0.000
Mn 0.500 0.953 0.047
N 0.656 0.500 0.344
N 0.202 0.350 0.973
N 0.027 0.650 0.798
N 0.110 0.890 0.500
N 0.798 0.027 0.650
N 0.500 0.110 0.890
Pa 0.000 0.547 0.453
N 0.890 0.500 0.110
N 0.500 0.344 0.656
In 0.000 0.000 0.000
Mn 0.047 0.500 0.953
N 0.650 0.798 0.027
Mn 0.500 0.500 0.500
N 0.350 0.973 0.202
Pa 0.453 0.000 0.547

=====

DFT (PBE-GGA) results for a relaxed MnInPb2N crystal.

## Properties
DFT total energy = -4.82 eV/atom
E above lowest polymorph = 0.469 eV per atom
spin magnetization = 0.863 μB per atom
energy relative to the elements, uncorrected = 3.539 eV/f.u.

Lattice parameters (Å, degrees): 5.294 4.281 5.294 90.00 90.00 90.00
Positions (direct):
Mn 0.500 0.500 0.500
Pb 0.000 0.000 0.500
Pb 0.500 0.000 0.000
In 0.000 0.500 0.000
N 0.000 0.000 0.000

=====

DFT (PBE-GGA) results for a relaxed MnInPb2N crystal.

## Properties
DFT total energy = -5.29 eV/atom
E above lowest polymorph = 0.000 eV per atom
spin magnetization = 0.470 μB per atom
energy relative to the elements, uncorrected = 1.193 eV/f.u.

Lattice parameters (Å, degrees): 5.740 3.530 5.740 90.00 90.00 90.00
Positions (direct):
In 0.500 0.500 0.500
Mn 0.000 0.000 0.000
Pb 0.500 0.000 0.000
Pb 0.000 0.000 0.500
N 0.000 0.500 0.000

=====

DFT (PBE-GGA) results for a relaxed Mn2InRhN crystal.

## Properties
DFT total energy = -7.49 eV/atom
spin magnetization = 0.767 μB per atom
energy relative to the elements, uncorrected = -0.715 eV/f.u.

Lattice parameters (Å, degrees): 3.849 3.849 4.359 90.00 90.00 90.00
Positions (direct):
Mn 0.000 0.500 0.000
Mn 0.500 0.000 0.000
N 0.000 0.000 0.000
Rh 0.000 0.000 0.500
In 0.500 0.500 0.500